[1]
This record from the Alexandria database describes an optimized crystal structure of Sr2AcIn. The functional is GGA-PBE.

SG: Fm-3m, No. 225
Distance to the lowest polymorph of the same formula in meV/atom: 166

Cell: 6.114 6.114 6.114 Å, 60.00 60.00 60.00°
Atoms (fractional coordinates):
1 Sr 0.250 0.250 0.250
2 Sr 0.750 0.750 0.750
3 Ac 0.000 0.000 0.000
4 In 0.500 0.500 0.500



[2]
This record from the Alexandria database describes an optimized crystal structure of Sr4AcIn4. The functional is GGA-PBE.

SG: P4_2/n, No. 86

Cell: 6.865 10.488 10.488 Å, 90.00 90.00 90.00°
Atoms (fractional coordinates):
1 Sr 0.373 0.320 0.909
2 Sr 0.873 0.591 0.820
3 Sr 0.373 0.680 0.091
4 Sr 0.127 0.180 0.591
5 Sr 0.627 0.909 0.680
6 Sr 0.127 0.820 0.409
7 Sr 0.873 0.409 0.180
8 Sr 0.627 0.091 0.320
9 Ac 0.000 0.000 0.000
10 Ac 0.500 0.500 0.500
11 In 0.633 0.771 0.364
12 In 0.633 0.229 0.636
13 In 0.133 0.864 0.729
14 In 0.867 0.271 0.864
15 In 0.867 0.729 0.136
16 In 0.367 0.364 0.229
17 In 0.367 0.636 0.771
18 In 0.133 0.136 0.271



[3]
This record from the Alexandria database describes an optimized crystal structure of SrAcTbIn. The functional is GGA-PBE.

SG: F-43m, No. 216

Cell: 5.850 5.850 5.850 Å, 60.00 60.00 60.00°
Last column: magnetic moment on the atom in μB.
Atoms (fractional coordinates):
1 Sr 0.750 0.750 0.750  0.01
2 Ac 0.500 0.500 0.500  0.03
3 Tb 0.250 0.250 0.250  0.06
4 In 0.000 0.000 0.000  0.00



[4]
This record from the Alexandria database describes an optimized crystal structure of SrAcTlIn. The functional is GGA-PBE.

SG: P4mm, No. 99
Distance to the lowest polymorph of the same formula in meV/atom: 0

Cell: 4.085 4.085 8.292 Å, 90.00 90.00 90.00°
Atoms (fractional coordinates):
1 Sr 0.500 0.500 0.606
2 Ac 0.500 0.500 0.110
3 Tl 0.000 0.000 0.853
4 In 0.000 0.000 0.360



no.,ΔH_f (0 K) (eV/f.u.)
1,0.0
2,-1.8
3,0.2
4,-1.7